# 1
{"formula": "SmScHg2", "functional": "GGA-PBE", "state": "optimized geometry", "cell": [[3.604, 0.000, 0.000], [0.000, 3.604, 0.000], [0.000, 0.000, 7.519]], "species": ["Sm", "Sc", "Hg", "Hg"], "fractional_positions": [[0.000, 0.000, 0.000], [0.000, 0.000, 0.500], [0.500, 0.500, 0.279], [0.500, 0.500, 0.721]], "e_tot_ev_per_atom": -3.361, "relative_energy_mev_per_atom": 0.0, "dos_at_fermi_per_ev_cell": 3.33, "ef_ev_per_atom": -0.45, "total_magnetization_mub_per_fu": 0.4}

***

# 2
{"formula": "SmSc2Hg", "functional": "GGA-PBE", "state": "optimized geometry", "cell": [[0.000, 3.650, 3.650], [3.650, 0.000, 3.650], [3.650, 3.650, 0.000]], "species": ["Sm", "Sc", "Sc", "Hg"], "fractional_positions": [[0.000, 0.000, 0.000], [0.250, 0.250, 0.250], [0.750, 0.750, 0.750], [0.500, 0.500, 0.500]], "e_tot_ev_per_atom": -4.451, "relative_energy_mev_per_atom": 160.6, "dos_at_fermi_per_ev_cell": 5.11, "ef_ev_per_atom": -0.03, "total_magnetization_mub_per_fu": 2.7}